1.
The following is a PBE-GGA calculation of SrPPb2 after structural relaxation, from Alexandria via LeMat-Bulk.

* SG: I4/mmm, No. 139
* crystal system: tetragonal
* energy of formation: -0.9 eV/f.u.

```
SrPPb2
1.0
-2.241 2.241 5.719
2.241 -2.241 5.719
2.241 2.241 -5.719
Sr P Pb
1 1 2
Direct
0.000 0.000 0.000
0.500 0.500 0.000
0.250 0.750 0.500
0.750 0.250 0.500
```



2.
The following is a PBE-GGA calculation of SrPPb2 after structural relaxation, from Alexandria via LeMat-Bulk.

* SG: Cmmm, No. 65
* crystal system: orthorhombic
* energy of formation: -1.0 eV/f.u.

```
SrPPb2
1.0
3.090 -3.720 0.000
3.090 3.720 0.000
0.000 0.000 5.388
Sr P Pb
1 1 2
Direct
0.000 0.000 0.000
0.500 0.500 0.000
0.303 0.697 0.500
0.697 0.303 0.500
```



3.
The following is a PBE-GGA calculation of SrPPb after structural relaxation, from Alexandria via LeMat-Bulk.

* SG: P3m1, No. 156
* crystal system: trigonal
* energy of formation: -1.3 eV/f.u.

```
SrPPb
1.0
4.888 0.000 0.000
-2.444 4.233 0.000
0.000 0.000 4.306
Sr P Pb
1 1 1
Direct
0.000 0.000 0.000
0.667 0.333 0.501
0.333 0.667 0.500
```



4.
The following is a PBE-GGA calculation of SrPPb after structural relaxation, from Alexandria via LeMat-Bulk.

* SG: I4mm, No. 107
* crystal system: tetragonal
* energy of formation: -0.9 eV/f.u.

```
SrPPb
1.0
-1.906 1.906 5.724
1.906 -1.906 5.724
1.906 1.906 -5.724
Sr P Pb
1 1 1
Direct
0.000 0.000 0.000
0.670 0.670 0.000
0.281 0.281 0.000
```



5.
The following is a PBE-GGA calculation of SrP2Pb after structural relaxation, from Alexandria via LeMat-Bulk.

* SG: F-43m, No. 216
* crystal system: cubic
* energy of formation: 0.7 eV/f.u.

```
SrP2Pb
1.0
0.000 3.665 3.665
3.665 0.000 3.665
3.665 3.665 0.000
Sr P Pb
1 2 1
Direct
0.000 0.000 0.000
0.250 0.250 0.250
0.500 0.500 0.500
0.750 0.750 0.750
```



6.
The following is a PBE-GGA calculation of Sr2PPb after structural relaxation, from Alexandria via LeMat-Bulk.

* ΔE to the lowest computed polymorph: 0.135 eV/atom
* SG: Cmmm, No. 65
* crystal system: orthorhombic
* energy of formation: -2.1 eV/f.u.

```
Sr2PPb
1.0
3.485 -4.390 0.000
3.485 4.390 0.000
0.000 0.000 3.903
Sr P Pb
2 1 1
Direct
0.000 0.500 0.000
0.500 0.000 0.000
0.000 0.000 0.500
0.500 0.500 0.500
```



7.
The following is a PBE-GGA calculation of Sr2PPb after structural relaxation, from Alexandria via LeMat-Bulk.

* ΔE to the lowest computed polymorph: 0.424 eV/atom
* SG: Cmm2, No. 35
* crystal system: orthorhombic
* energy of formation: -0.9 eV/f.u.

```
Sr2PPb
1.0
2.770 -2.797 0.000
2.770 2.797 0.000
0.000 0.000 8.867
Sr P Pb
2 1 1
Direct
0.000 0.000 0.000
0.500 0.500 0.384
0.000 0.000 0.616
0.500 0.500 0.744
```



8.
The following is a PBE-GGA calculation of Sr8PPb2 after structural relaxation, from Alexandria via LeMat-Bulk.

* SG: C2/m, No. 12
* crystal system: monoclinic
* energy of formation: -4.6 eV/f.u.

```
Sr8PPb2
1.0
10.623 -2.776 0.000
10.623 2.776 0.000
-1.832 0.000 7.352
Sr P Pb
8 1 2
Direct
0.028 0.028 0.295
0.219 0.219 0.804
0.353 0.353 0.536
0.410 0.410 0.086
0.590 0.590 0.914
0.647 0.647 0.464
0.781 0.781 0.196
0.972 0.972 0.705
0.500 0.500 0.500
0.186 0.186 0.233
0.814 0.814 0.767
```



9.
The following is a PBE-GGA calculation of SrPPb2 after structural relaxation, from Alexandria via LeMat-Bulk.

* SG: I-42d, No. 122
* crystal system: tetragonal
* energy of formation: -1.0 eV/f.u.

```
SrPPb2
1.0
-4.517 4.517 3.081
4.517 -4.517 3.081
4.517 4.517 -3.081
Sr P Pb
2 2 4
Direct
0.000 0.000 0.000
0.750 0.250 0.500
0.250 0.750 0.500
0.500 0.500 0.000
0.193 0.625 0.068
0.375 0.443 0.568
0.557 0.125 0.932
0.875 0.807 0.432
```



10.
The following is a PBE-GGA calculation of SrP2Pb after structural relaxation, from Alexandria via LeMat-Bulk.

* SG: C2/m, No. 12
* crystal system: monoclinic
* energy of formation: -0.8 eV/f.u.

```
SrP2Pb
1.0
3.702 -3.285 0.000
3.702 3.285 0.000
-0.007 0.000 3.975
Sr P Pb
1 2 1
Direct
0.000 0.000 0.000
0.000 0.500 0.500
0.500 0.000 0.500
0.500 0.500 0.000
```



11.
The following is a PBE-GGA calculation of SrPPb after structural relaxation, from Alexandria via LeMat-Bulk.

* SG: F-43m, No. 216
* crystal system: cubic
* energy of formation: -1.2 eV/f.u.

```
SrPPb
1.0
0.000 3.610 3.610
3.610 0.000 3.610
3.610 3.610 0.000
Sr P Pb
1 1 1
Direct
0.000 0.000 0.000
0.250 0.250 0.250
0.500 0.500 0.500
```



12.
The following is a PBE-GGA calculation of SrP2Pb after structural relaxation, from Alexandria via LeMat-Bulk.

* SG: I-4m2, No. 119
* crystal system: tetragonal
* energy of formation: -0.5 eV/f.u.

```
SrP2Pb
1.0
-2.136 2.136 5.364
2.136 -2.136 5.364
2.136 2.136 -5.364
Sr P Pb
1 2 1
Direct
0.000 0.000 0.000
0.250 0.750 0.500
0.500 0.500 0.000
0.750 0.250 0.500
```



Question: Which formula does entry 9 have?
Answer: SrPPb2



Repeat the fourth record exactly.
The following is a PBE-GGA calculation of SrPPb after structural relaxation, from Alexandria via LeMat-Bulk.

* SG: I4mm, No. 107
* crystal system: tetragonal
* energy of formation: -0.9 eV/f.u.

```
SrPPb
1.0
-1.906 1.906 5.724
1.906 -1.906 5.724
1.906 1.906 -5.724
Sr P Pb
1 1 1
Direct
0.000 0.000 0.000
0.670 0.670 0.000
0.281 0.281 0.000
```